Record 1
La4SmHo3Te8 | GGA-PBE | relaxed

Cell and atoms, written as extended XYZ:
```
16
Lattice="-7.3285 -4.1582 2.8609 4.4867 -2.9441 7.2141 -0.2388 8.7155 -1.7828" Properties=species:S:1:pos:R:3 pbc="T T T"
Sm 2.2434 -1.4721 3.6071
Te -2.3667 3.3647 5.6548
Te -4.3292 -3.8027 4.0488
Te 1.3666 1.1162 5.1231
Te 1.2486 5.4160 4.2434
Te -0.7139 -1.7514 2.6375
Te -4.4472 0.4971 3.1692
Te -0.7942 2.6099 1.7590
Te -2.2864 -0.9967 6.5332
La -3.6643 -2.0791 1.4304
La -0.1194 4.3578 -0.8914
La 0.0000 0.0000 0.0000
La -3.7836 2.2787 0.5391
Ho -1.4209 -3.5511 5.0375
Ho 2.1240 2.8857 2.7157
Ho -1.5403 0.8066 4.1461
```

Calculated values
space-group type	R-3m
E	-5.40	eV/atom
ΔE_f (raw)	-1440	meV/atom

***

Record 2
LaSm3Ho2Te6 | GGA-PBE | relaxed

Cell and atoms, written as extended XYZ:
```
12
Lattice="-0.2904 2.7341 3.4430 -3.4817 -6.5744 4.9271 9.6416 -2.2615 -0.2103" Properties=species:S:1:pos:R:3 pbc="T T T"
Te 4.8054 -3.3686 3.0803
Te -0.8136 -1.7083 1.2880
Te 6.6832 -4.3935 6.8719
Te 3.0710 -6.5618 5.4698
Te 1.0642 -2.7332 5.0795
Te 2.7986 0.4600 2.6901
Ho 3.8746 -3.6342 6.0320
Ho 1.9950 -2.4676 2.1278
Sm 5.7057 -0.3517 3.5798
Sm -1.8860 -1.9202 4.1851
Sm 0.1639 -5.7501 4.5800
La -0.1452 1.3671 1.7215
```

Calculated values
space-group type	C2/m
E	-5.30	eV/atom
ΔE_f (raw)	-1371	meV/atom

***

Record 3
LaSm4Ho2Th | GGA-PBE | relaxed

Cell and atoms, written as extended XYZ:
```
8
Lattice="-5.0524 -0.4891 0.5290 0.6955 -4.2633 2.7013 1.0655 1.2703 11.3518" Properties=species:S:1:pos:R:3 pbc="T T T"
Sm 1.3186 -2.2755 10.4905
Sm -1.5555 -0.3958 9.3957
Sm -1.7359 -3.0862 5.1863
Sm -4.6100 -1.2065 4.0916
La -2.1785 -2.3762 1.6152
Ho -1.9934 0.3906 5.9404
Ho 1.0655 1.2703 11.3518
Th 0.8805 -1.4965 7.0266
```

Calculated values
space-group type	Pmmm
E	-5.01	eV/atom

***

Record 4
La6SmHoTh2 | GGA-PBE | relaxed

Cell and atoms, written as extended XYZ:
```
20
Lattice="10.0499 -2.7547 -2.8588 0.4520 8.5248 -1.9110 0.4520 -2.2256 8.4481" Properties=species:S:1:pos:R:3 pbc="T T T"
La 5.1059 -1.0373 5.7395
La 9.2537 -0.8883 1.1540
La 0.8232 -0.8521 5.9317
La 1.9469 4.3612 -1.4875
La 1.7003 4.4327 2.5243
La 10.1308 4.3966 -2.2533
La 9.0070 -0.8168 5.1658
La 6.9719 -3.0254 2.8737
La 5.8481 4.5818 -2.0611
La 4.2287 2.5635 0.5845
La 6.7253 0.9810 3.0938
La 3.9821 6.5699 0.8046
Th 10.2905 1.8864 2.7623
Th 5.6885 -0.5234 0.2615
Th 0.6635 1.6581 0.9161
Th 5.2655 4.0678 3.4168
Ho 2.9645 1.3887 3.5871
Ho 7.9895 2.1558 0.0913
Sm 2.9645 7.7643 -2.5565
Sm 7.9895 -4.2198 6.2348
```

Calculated values
space-group type	C2/c
E	-5.24	eV/atom

***

Record 5
La2SmHoTh | GGA-PBE | relaxed

Cell and atoms, written as extended XYZ:
```
10
Lattice="6.3679 0.0000 0.0000 0.0000 9.2044 0.0450 0.0000 -2.2930 6.1442" Properties=species:S:1:pos:R:3 pbc="T T T"
Ho 3.1706 -1.7197 4.6082
Ho 3.1973 -0.5732 1.5361
Sm 5.3198 4.0290 1.5585
Sm 1.0481 2.8825 4.6307
La 4.4132 1.3908 4.0605
La 1.9548 5.5207 2.1287
La 4.4132 4.3742 5.2008
La 1.9548 2.5372 0.9884
Th 0.0000 -1.1465 3.0721
Th 0.0000 0.0000 0.0000
```

Calculated values
space-group type	P2/c
E	-5.00	eV/atom

***

Record 6
La3SmHo6Th2 | GGA-PBE | relaxed

Cell and atoms, written as extended XYZ:
```
12
Lattice="6.2460 0.0000 0.0070 -3.1215 5.4100 0.0070 -1.0577 -1.8315 11.6097" Properties=species:S:1:pos:R:3 pbc="T T T"
Ho 2.1051 -0.0071 2.8313
Ho -0.0383 3.5856 8.7925
Ho 0.0013 0.0023 8.7842
Ho 2.0654 3.5762 2.8395
Ho -1.0581 1.8198 2.8313
Ho 3.1249 1.7587 8.7925
Th 0.0019 3.6061 0.0070
Th 3.1225 1.8039 0.0070
La -2.0962 3.5967 5.8119
La 4.1629 -0.0182 5.8119
La 1.0334 1.7893 5.8119
Sm 0.0000 0.0000 0.0000
```

Calculated values
space-group type	C2/m
E	-5.13	eV/atom

***

Record 7
LaSm2HoTh | GGA-PBE | relaxed

Cell and atoms, written as extended XYZ:
```
10
Lattice="-4.8089 -3.0445 -3.0490 -3.0143 -2.8579 7.6079 -3.2620 5.5156 -0.3627" Properties=species:S:1:pos:R:3 pbc="T T T"
La -1.6310 2.7578 -0.1813
La 0.0000 0.0000 0.0000
Sm -3.1204 -0.7577 1.3698
Sm -4.5553 -1.2609 4.1354
Sm -7.9648 0.3709 2.8264
Sm -6.5299 0.8741 0.0608
Th -3.4428 -0.2844 -1.7565
Th -4.6281 2.7555 -1.6552
Ho -4.7744 2.1881 3.0116
Ho -6.3108 -2.5750 1.1847
```

Calculated values
space-group type	P2/c
E	-4.97	eV/atom

***

Record 8
LaSmHoTh | GGA-PBE | relaxed

Cell and atoms, written as extended XYZ:
```
4
Lattice="5.7499 0.0000 0.0000 2.8750 4.9796 0.0000 2.8750 1.6599 4.6948" Properties=species:S:1:pos:R:3 pbc="T T T"
Sm 5.7499 3.3197 2.3474
Ho 0.0000 0.0000 0.0000
Th 8.6249 4.9796 3.5211
La 2.8750 1.6599 1.1737
```

Calculated values
space-group type	F-43m
E	-5.27	eV/atom
E above lowest polymorph	0.119	eV per atom

***

Record 9
La2SmHo5Th | GGA-PBE | relaxed

Cell and atoms, written as extended XYZ:
```
18
Lattice="-0.7695 2.9954 -1.7357 -5.6858 -7.6804 -7.1108 -12.0021 1.5239 7.9509" Properties=species:S:1:pos:R:3 pbc="T T T"
La -14.7021 -2.7704 1.7369
La -5.7570 -4.4735 -5.1680
La -7.0597 0.0288 -0.4435
La -9.1261 0.8586 1.9046
Ho -13.1806 -2.0189 -1.2638
Ho -5.4303 0.2047 2.7607
Ho -11.3385 -1.9382 1.6818
Ho -11.2071 -4.4212 -2.6615
Ho -5.8948 -1.3783 -3.3884
Ho -1.4571 0.5246 -2.0718
Ho -3.8884 -1.3185 -0.5516
Ho -9.8802 -1.3470 -1.5675
Ho -14.4950 -1.0627 4.5922
Ho -17.0402 -2.8563 -0.9979
Th -8.8875 -2.8301 -4.5670
Th -11.1329 -0.1326 4.7068
Sm -2.8701 1.8063 0.7665
Sm -14.5448 -5.0998 -2.3528
```

Calculated values
space-group type	Cmc2_1
E	-4.84	eV/atom

***

Record 10
La5Sm2HoTh | GGA-PBE | relaxed

Cell and atoms, written as extended XYZ:
```
18
Lattice="-7.8156 3.5819 3.3551 -3.8672 -8.3792 -0.0630 8.2632 1.2291 5.2441" Properties=species:S:1:pos:R:3 pbc="T T T"
La 0.0000 0.0000 0.0000
La -6.5553 0.0650 4.6587
La 3.1357 -3.6333 3.8774
La -3.6979 -5.5528 2.7008
La -5.8414 -2.3987 1.6460
La 4.4785 0.8271 4.1626
La -7.8981 -4.3953 4.3736
La -2.3551 -1.0924 2.9860
La 0.2783 1.9846 5.8354
La -1.0645 -2.4758 5.5502
Th 1.2109 -0.5848 3.4451
Th -4.6305 -2.9835 5.0911
Sm -2.3773 -2.8455 0.3526
Sm -9.3056 -1.9518 2.9395
Sm -5.2206 1.2518 2.0475
Sm -6.4622 -6.0492 1.2446
Ho -0.7227 -4.7744 3.4136
Ho -2.6969 1.2062 5.1226
```

Calculated values
space-group type	I4/mcm
E	-4.83	eV/atom

***

Record 11
La3Sm6Ho2Th | GGA-PBE | relaxed

Cell and atoms, written as extended XYZ:
```
12
Lattice="6.2831 0.0008 0.0067 -3.1394 5.4426 0.0067 -1.0573 -1.8307 11.9161" Properties=species:S:1:pos:R:3 pbc="T T T"
Th 0.0000 0.0000 0.0000
Sm -1.0388 1.7930 2.9045
Sm 2.1027 3.6408 2.9171
Sm 3.1253 1.8197 9.0250
Sm -0.0163 -0.0281 9.0124
Sm 0.0142 3.6164 9.0250
Sm 2.0722 -0.0037 2.9045
La 1.0432 1.8063 5.9648
La 4.1825 -0.0067 5.9648
La -2.0960 3.6194 5.9648
Ho 0.0024 3.6282 0.0067
Ho 3.1414 1.8153 0.0067
```

Calculated values
space-group type	C2/m
E	-4.95	eV/atom

***

Record 12
La4SmHo2Th | GGA-PBE | relaxed

Cell and atoms, written as extended XYZ:
```
8
Lattice="5.1723 -0.0002 0.0001 -0.0001 5.0413 1.0666 0.0001 2.9050 11.1614" Properties=species:S:1:pos:R:3 pbc="T T T"
La 2.5861 4.4994 3.6243
La 2.5862 3.4467 8.6039
La 5.1723 5.9643 9.1466
La 5.1723 1.9816 3.0815
Ho 0.0001 2.9053 11.1603
Ho 2.5861 6.4935 6.6483
Sm 2.5862 5.4258 11.6936
Th 5.1722 3.9728 6.1149
```

Calculated values
space-group type	Pmmm
E	-5.09	eV/atom

***

| no. | V (Å³/atom) |
| --- | --- |
| 1 | 31.6 |
| 2 | 30.8 |
| 3 | 33.4 |
| 4 | 35.4 |
| 5 | 36.1 |
| 6 | 32.7 |
| 7 | 35.5 |
| 8 | 33.6 |
| 9 | 33.6 |
| 10 | 35.0 |
| 11 | 34.0 |
| 12 | 34.4 |